1.
Compound: KPb2Se
Source: Alexandria via LeMat-Bulk
Functional: PBE
Structure: relaxed

Properties
Density   6.33 g/cm³
Formation energy without anion corrections   -1.425 eV per formula unit
Total magnetic moment   0.00 μB/atom

Geometry as CIF:
```
data_KPb2Se
_chemical_formula_sum 'K1 Pb2 Se1'
_cell_length_a 5.107
_cell_length_b 5.475
_cell_length_c 5.133
_cell_angle_alpha 90.00
_cell_angle_beta 103.22
_cell_angle_gamma 90.00
_symmetry_space_group_name_H-M 'P 1'
_symmetry_Int_Tables_number 1
_symmetry_space_group_name_Hall 'P 1'
loop_
_atom_site_label
_atom_site_fract_x
_atom_site_fract_y
_atom_site_fract_z
K1 0.000 0.000 0.000
Pb1 0.312 0.500 0.688
Pb2 0.688 0.500 0.312
Se1 0.500 0.000 0.500
```


2.
Compound: Li2Sm5In5
Source: Alexandria via LeMat-Bulk
Functional: PBE
Structure: relaxed

Properties
Density   6.98 g/cm³
Calculated formation energy   -0.296 eV per atom
Total magnetic moment   0.00 μB/atom

Geometry as CIF:
```
data_Li2Sm5In5
_chemical_formula_sum 'Li2 Sm5 In5'
_cell_length_a 5.747
_cell_length_b 5.747
_cell_length_c 12.198
_cell_angle_alpha 100.01
_cell_angle_beta 100.01
_cell_angle_gamma 53.77
_symmetry_space_group_name_H-M 'P 1'
_symmetry_Int_Tables_number 1
_symmetry_space_group_name_Hall 'P 1'
loop_
_atom_site_label
_atom_site_fract_x
_atom_site_fract_y
_atom_site_fract_z
Li1 0.173 0.173 0.200
Li2 0.827 0.827 0.800
Sm1 0.000 0.000 0.500
Sm2 0.345 0.345 0.020
Sm3 0.434 0.434 0.691
Sm4 0.566 0.566 0.309
Sm5 0.655 0.655 0.980
In1 0.000 0.000 0.000
In2 0.139 0.139 0.777
In3 0.290 0.290 0.424
In4 0.710 0.710 0.576
In5 0.861 0.861 0.223
```


3.
Compound: PPtSe2
Source: Alexandria via LeMat-Bulk
Functional: PBE
Structure: relaxed

Properties
Density   7.23 g/cm³
Formation energy without anion corrections   0.280 eV per formula unit
Total magnetic moment   0.00 μB/atom

Geometry as CIF:
```
data_PPtSe2
_chemical_formula_sum 'P1 Pt1 Se2'
_cell_length_a 6.495
_cell_length_b 6.495
_cell_length_c 6.495
_cell_angle_alpha 146.88
_cell_angle_beta 143.71
_cell_angle_gamma 49.94
_symmetry_space_group_name_H-M 'P 1'
_symmetry_Int_Tables_number 1
_symmetry_space_group_name_Hall 'P 1'
loop_
_atom_site_label
_atom_site_fract_x
_atom_site_fract_y
_atom_site_fract_z
P1 0.000 0.000 0.000
Pt1 0.500 0.500 0.000
Se1 0.351 0.851 0.500
Se2 0.649 0.149 0.500
```


4.
Compound: BaTmAu2
Source: Alexandria via LeMat-Bulk
Functional: PBE
Structure: relaxed

Properties
Density   9.42 g/cm³
Calculated formation energy   -0.680 eV per atom
Total magnetic moment   0.00 μB/atom

Geometry as CIF:
```
data_BaTmAu2
_chemical_formula_sum 'Ba1 Tm1 Au2'
_cell_length_a 7.664
_cell_length_b 7.664
_cell_length_c 7.664
_cell_angle_alpha 33.69
_cell_angle_beta 33.69
_cell_angle_gamma 33.69
_symmetry_space_group_name_H-M 'P 1'
_symmetry_Int_Tables_number 1
_symmetry_space_group_name_Hall 'P 1'
loop_
_atom_site_label
_atom_site_fract_x
_atom_site_fract_y
_atom_site_fract_z
Ba1 0.000 0.000 0.000
Tm1 0.500 0.500 0.500
Au1 0.231 0.231 0.231
Au2 0.769 0.769 0.769
```


5.
Compound: Mn2CrP
Source: Alexandria via LeMat-Bulk
Functional: PBE
Structure: relaxed

Properties
Density   7.44 g/cm³
Calculated formation energy   -0.228 eV per atom
Total magnetic moment   0.00 μB/atom

Geometry as CIF:
```
data_Mn2CrP
_chemical_formula_sum 'Mn2 Cr1 P1'
_cell_length_a 4.628
_cell_length_b 4.628
_cell_length_c 4.628
_cell_angle_alpha 144.61
_cell_angle_beta 130.69
_cell_angle_gamma 62.15
_symmetry_space_group_name_H-M 'P 1'
_symmetry_Int_Tables_number 1
_symmetry_space_group_name_Hall 'P 1'
loop_
_atom_site_label
_atom_site_fract_x
_atom_site_fract_y
_atom_site_fract_z
Mn1 0.000 0.000 0.000
Mn2 0.733 0.233 0.500
Cr1 0.472 0.472 0.000
P1 0.231 0.731 0.500
```


6.
Compound: Pa2ZnFe2
Source: Alexandria via LeMat-Bulk
Functional: PBE
Structure: relaxed

Properties
Density   12.23 g/cm³
Calculated formation energy   -0.214 eV per atom
Total magnetic moment   0.00 μB/atom

Geometry as CIF:
```
data_Pa2ZnFe2
_chemical_formula_sum 'Pa2 Zn1 Fe2'
_cell_length_a 5.066
_cell_length_b 5.066
_cell_length_c 5.066
_cell_angle_alpha 130.07
_cell_angle_beta 113.65
_cell_angle_gamma 87.43
_symmetry_space_group_name_H-M 'P 1'
_symmetry_Int_Tables_number 1
_symmetry_space_group_name_Hall 'P 1'
loop_
_atom_site_label
_atom_site_fract_x
_atom_site_fract_y
_atom_site_fract_z
Pa1 0.195 0.195 0.000
Pa2 0.805 0.805 0.000
Zn1 0.500 0.000 0.500
Fe1 0.255 0.500 0.755
Fe2 0.745 0.500 0.245
```


7.
Compound: TaAlNi2
Source: Alexandria via LeMat-Bulk
Functional: PBE
Structure: relaxed

Properties
Density   6.96 g/cm³
Calculated formation energy   0.725 eV per atom
Total magnetic moment   0.00 μB/atom

Geometry as CIF:
```
data_TaAlNi2
_chemical_formula_sum 'Ta2 Al2 Ni4'
_cell_length_a 6.558
_cell_length_b 6.558
_cell_length_c 6.558
_cell_angle_alpha 131.43
_cell_angle_beta 131.43
_cell_angle_gamma 71.13
_symmetry_space_group_name_H-M 'P 1'
_symmetry_Int_Tables_number 1
_symmetry_space_group_name_Hall 'P 1'
loop_
_atom_site_label
_atom_site_fract_x
_atom_site_fract_y
_atom_site_fract_z
Ta1 0.000 0.000 0.000
Ta2 0.750 0.250 0.500
Al1 0.250 0.750 0.500
Al2 0.500 0.500 0.000
Ni1 0.141 0.625 0.016
Ni2 0.375 0.391 0.516
Ni3 0.609 0.125 0.984
Ni4 0.875 0.859 0.484
```


8.
Compound: SrTlIr2
Source: Alexandria via LeMat-Bulk
Functional: PBE
Structure: relaxed

Properties
Density   13.79 g/cm³
Calculated formation energy   0.430 eV per atom
Total magnetic moment   0.00 μB/atom

Geometry as CIF:
```
data_SrTlIr2
_chemical_formula_sum 'Sr1 Tl1 Ir2'
_cell_length_a 4.866
_cell_length_b 4.866
_cell_length_c 4.866
_cell_angle_alpha 60.00
_cell_angle_beta 60.00
_cell_angle_gamma 60.00
_symmetry_space_group_name_H-M 'P 1'
_symmetry_Int_Tables_number 1
_symmetry_space_group_name_Hall 'P 1'
loop_
_atom_site_label
_atom_site_fract_x
_atom_site_fract_y
_atom_site_fract_z
Sr1 0.000 0.000 0.000
Tl1 0.500 0.500 0.500
Ir1 0.250 0.250 0.250
Ir2 0.750 0.750 0.750
```


DOS(E_F) in states/eV/f.u., matching the order above: 1.23 9.78 1.20 2.66 3.66 5.25 1.94 2.81